(1)
A relaxed Ag5HgCl8 crystal, computed with PBE.

Output
formation energy without anion corrections: -6.2 eV/f.u.

Cell: 9.1323 9.1323 8.6397 Å, 90.00 90.00 90.00°
Closest atoms and distances in Å follow each position.
Space group I-4 (No. 82)
One atom of each set of equivalent atoms:
Ag  0.0000  0.0000  0.0000  4 Cl 2.56
Ag  0.1521  0.7443  0.3637  4 Cl 2.54-2.69
Hg  0.0000  0.5000  0.7500  4 Cl 2.59
Cl  0.0156  0.7625  0.6387  1 Hg 2.59, 2 Ag 2.60-2.69
Cl  0.0188  0.7364  0.0980  3 Ag 2.54-2.60

---

(2)
A relaxed Co2SnHgIr crystal, computed with PBE.

Cell: 4.6022 4.6022 5.1893 Å, 90.00 90.00 90.00°
Closest atoms and distances in Å follow each position.
Space group P4/mmm (No. 123)
One atom of each set of equivalent atoms:
Co  0.0000  0.5000  0.0000  2 Sn 2.30
Sn  0.0000  0.0000  0.0000  4 Co 2.30
Hg  0.0000  0.0000  0.5000  2 Sn 2.59
Ir  0.5000  0.5000  0.5000  4 Hg 3.25, 8 Co 3.47

---

(3)
A relaxed KPuRhS3 crystal, computed with PBE.

Output
formation energy without anion corrections: -7.0 eV/f.u.

Cell: 8.6273 3.9928 9.2315 Å, 90.00 106.38 90.00°
Closest atoms and distances in Å follow each position.
Space group P2_1/m (No. 11)
One atom of each set of equivalent atoms:
K  0.1956  0.2500  0.2333  7 S 3.24-3.47
Pu  0.3263  0.7500  0.8465  6 S 2.68-2.75
Rh  0.0824  0.2500  0.5913  4 S 2.34-2.41
S  0.1244  0.2500  0.8604  1 Rh 2.41, 2 Pu 2.68
S  0.1990  0.7500  0.5422  3 Rh 2.34-2.39
S  0.4550  0.7500  0.1530  3 Pu 2.73-2.75

---

(4)
A relaxed VTe2MoN crystal, computed with PBE.

Output
formation energy without anion corrections: 2.4 eV/f.u.
E above lowest polymorph: 0.0000 eV/atom

Cell: 5.4605 5.4605 3.7771 Å, 90.00 90.00 90.00°
Closest atoms and distances in Å follow each position.
Space group P4/mmm (No. 123)
One atom of each set of equivalent atoms:
V  0.0000  0.0000  0.0000  8 Te 3.32
Te  0.0000  0.5000  0.5000  2 Mo 2.73
Mo  0.5000  0.5000  0.5000  2 N 1.89
N  0.5000  0.5000  0.0000  2 Mo 1.89

---

(5)
A relaxed CsAs3Ru crystal, computed with PBE.

Cell: 5.0104 5.0104 5.0104 Å, 90.00 90.00 90.00°
Closest atoms and distances in Å follow each position.
Space group Pm-3m (No. 221)
One atom of each set of equivalent atoms:
Cs  0.0000  0.0000  0.0000  12 As 3.54
As  0.0000  0.5000  0.5000  2 Ru 2.51
Ru  0.5000  0.5000  0.5000  6 As 2.51

---

(6)
A relaxed SrCaPb2 crystal, computed with PBE.

Cell: 5.1721 5.1721 4.7930 Å, 90.00 90.00 90.00°
Closest atoms and distances in Å follow each position.
Space group P4/mmm (No. 123)
One atom of each set of equivalent atoms:
Sr  0.0000  0.0000  0.0000  8 Pb 3.53, 4 Ca 3.66
Ca  0.5000  0.5000  0.0000  8 Pb 3.53, 4 Sr 3.66
Pb  0.0000  0.5000  0.5000  4 Ca 3.53, 4 Sr 3.53, 4 Pb 3.66

---

(7)
A relaxed Hg3SbI crystal, computed with PBE.

Output
formation energy without anion corrections: -0.3 eV/f.u.
E above lowest polymorph: 0.0141 eV/atom

Cell: 5.6928 5.6928 5.6928 Å, 90.00 90.00 90.00°
Closest atoms and distances in Å follow each position.
Space group Pm-3m (No. 221)
One atom of each set of equivalent atoms:
Hg  0.0000  0.0000  0.5000  2 Sb 2.85
Sb  0.0000  0.0000  0.0000  6 Hg 2.85
I  0.5000  0.5000  0.5000  12 Hg 4.03

---

(8)
A relaxed NaHoUS4 crystal, computed with PBE.

Output
formation energy without anion corrections: -11.3 eV/f.u.

Cell: 8.0663 8.2144 11.4296 Å, 90.00 90.00 90.00°
Closest atoms and distances in Å follow each position.
Space group Imma (No. 74)
One atom of each set of equivalent atoms:
Na  0.0000  0.2500  0.1308  4 S 2.74-2.77
Ho  0.2500  0.2500  0.7500  6 S 2.74-2.75
U  0.0000  0.0000  0.5000  6 S 2.69-2.72
S  0.0000  0.0258  0.7349  1 U 2.69, 2 Ho 2.74, 1 Na 2.74
S  0.2214  0.2500  0.5105  2 U 2.72, 1 Ho 2.75, 1 Na 2.77

---

(9)
A relaxed TmPa2Ga9 crystal, computed with PBE.

Cell: 4.2872 4.2872 12.7826 Å, 90.00 90.00 90.00°
Closest atoms and distances in Å follow each position.
Space group P4/mmm (No. 123)
One atom of each set of equivalent atoms:
Tm  0.0000  0.0000  0.0000  12 Ga 3.00-3.03
Pa  0.0000  0.0000  0.3315  12 Ga 3.03-3.04
Ga  0.0000  0.5000  0.1638  8 Ga 3.00-3.06, 2 Tm 3.00, 2 Pa 3.03
Ga  0.0000  0.5000  0.5000  8 Ga 3.01-3.03, 4 Pa 3.04
Ga  0.5000  0.5000  0.0000  8 Ga 3.00, 4 Tm 3.03
Ga  0.5000  0.5000  0.3351  8 Ga 3.01-3.06, 4 Pa 3.03

---

(10)
A relaxed EuDy2Ir crystal, computed with PBE.

Output
E above lowest polymorph: 0.1328 eV/atom

Cell: 3.9846 3.9846 31.6857 Å, 90.00 90.00 120.00°
Closest atoms and distances in Å follow each position.
Space group R-3m (No. 166, hexagonal axes)
One atom of each set of equivalent atoms:
Eu  0.0000  0.0000  0.0000  2 Dy 3.80, 6 Eu 3.98
Dy  0.0000  0.0000  0.1198  3 Ir 2.74
Ir  0.0000  0.0000  0.5000  6 Dy 2.74

---

(11)
A relaxed ReGe3H crystal, computed with PBE.

Output
E above lowest polymorph: 0.2649 eV/atom

Cell: 4.1093 4.1093 4.1093 Å, 90.00 90.00 90.00°
Closest atoms and distances in Å follow each position.
Space group Pm-3m (No. 221)
One atom of each set of equivalent atoms:
Re  0.0000  0.0000  0.0000  12 Ge 2.91
Ge  0.0000  0.5000  0.5000  2 H 2.05
H  0.5000  0.5000  0.5000  6 Ge 2.05

---

(12)
A relaxed RbAl2WBr crystal, computed with PBE.

Output
formation energy without anion corrections: 1.9 eV/f.u.

Cell: 5.0747 5.0747 5.3075 Å, 90.00 90.00 90.00°
Closest atoms and distances in Å follow each position.
Space group P4/mmm (No. 123)
One atom of each set of equivalent atoms:
Rb  0.0000  0.0000  0.0000  4 Br 3.59, 8 Al 3.67
Al  0.0000  0.5000  0.5000  2 W 2.54
W  0.5000  0.5000  0.5000  4 Al 2.54, 2 Br 2.65
Br  0.5000  0.5000  0.0000  2 W 2.65

---

(13)
A relaxed Ti2Nb13 crystal, computed with PBE.

Cell: 7.4419 7.4419 19.7291 Å, 90.00 90.00 120.00°
Closest atoms and distances in Å follow each position.
Space group R-3m (No. 166, hexagonal axes)
One atom of each set of equivalent atoms:
Ti  0.0000  0.0000  0.1304  7 Nb 2.57-2.80
Nb  0.0000  0.0000  0.0000  2 Ti 2.57, 6 Nb 2.81
Nb  0.0708  0.5354  0.2802  6 Nb 2.75-2.93, 1 Ti 3.02
Nb  0.0831  0.5416  0.4237  2 Ti 2.74-2.80, 5 Nb 2.75-2.83

---

(14)
A relaxed ErFe4 crystal, computed with PBE.

Cell: 4.5816 4.5816 4.5816 Å, 90.00 90.00 90.00°
Closest atoms and distances in Å follow each position.
Space group Pm-3m (No. 221)
One atom of each set of equivalent atoms:
Er  0.0000  0.0000  0.0000  6 Fe 2.29
Fe  0.0000  0.0000  0.5000  2 Er 2.29
Fe  0.5000  0.5000  0.5000  12 Fe 3.24

---

(15)
A relaxed ZrTa2Rh crystal, computed with PBE.

Cell: 2.9507 4.6967 5.3063 Å, 90.00 101.46 90.00°
Closest atoms and distances in Å follow each position.
Space group P2/m (No. 10)
One atom of each set of equivalent atoms:
Zr  0.0000  0.0000  0.0000  2 Rh 2.77, 4 Ta 2.89, 2 Zr 2.95
Ta  0.2673  0.5000  0.7491  4 Ta 2.74-2.95, 2 Rh 2.84, 2 Zr 2.89
Rh  0.5000  0.0000  0.5000  2 Zr 2.77, 4 Ta 2.84, 2 Rh 2.95

---

(16)
A relaxed Cs2Hf2ScTe6 crystal, computed with PBE.

Output
formation energy without anion corrections: -11.4 eV/f.u.

Cell: 7.1791 12.4397 9.5369 Å, 90.00 104.44 90.00°
Closest atoms and distances in Å follow each position.
Space group C2/m (No. 12)
One atom of each set of equivalent atoms:
Cs  0.0000  0.1651  0.0000  6 Te 3.78-3.79, 3 Cs 4.11-4.16
Hf  0.0000  0.3318  0.5000  6 Te 2.92-2.93
Sc  0.0000  0.0000  0.5000  6 Te 2.94-2.97
Te  0.2199  0.5000  0.6830  2 Hf 2.92, 1 Sc 2.97
Te  0.2307  0.1668  0.6837  2 Hf 2.92-2.93, 1 Sc 2.94

---

(17)
A relaxed KNa2SI crystal, computed with PBE.

Output
formation energy without anion corrections: -5.7 eV/f.u.

Cell: 5.2997 5.2997 6.1609 Å, 90.00 90.00 90.00°
Closest atoms and distances in Å follow each position.
Space group P4/mmm (No. 123)
One atom of each set of equivalent atoms:
K  0.0000  0.0000  0.0000  2 S 3.08
Na  0.0000  0.5000  0.5000  2 S 2.65
S  0.0000  0.0000  0.5000  4 Na 2.65
I  0.5000  0.5000  0.0000  4 K 3.75, 8 Na 4.06

---

(18)
A relaxed HoLuMgGa crystal, computed with PBE.

Cell: 7.2172 7.2172 7.2172 Å, 90.00 90.00 90.00°
Closest atoms and distances in Å follow each position.
Space group F-43m (No. 216)
One atom of each set of equivalent atoms:
Ho  0.0000  0.0000  0.0000  4 Ga 3.13, 4 Mg 3.13
Lu  0.0000  0.0000  0.5000  4 Mg 3.13, 4 Ga 3.13
Mg  0.2500  0.2500  0.7500  4 Ho 3.13, 4 Lu 3.13
Ga  0.2500  0.2500  0.2500  4 Lu 3.13, 4 Ho 3.13

---

(19)
A relaxed BeAgSb crystal, computed with PBE.

Output
formation energy without anion corrections: 1.2 eV/f.u.

Cell: 3.2134 3.2134 6.1776 Å, 90.00 90.00 120.00°
Closest atoms and distances in Å follow each position.
Space group P3m1 (No. 156)
One atom of each set of equivalent atoms:
Be  0.0000  0.0000  0.0000  3 Ag 2.46, 3 Sb 2.73
Ag  0.3333  0.6667  0.7386  3 Be 2.46
Sb  0.6667  0.3333  0.3250  3 Be 2.73

---

(20)
A relaxed BaTl2Hg crystal, computed with PBE.

Output
E above lowest polymorph: 0.0596 eV/atom

Cell: 4.1157 4.1157 7.8247 Å, 90.00 90.00 90.00°
Closest atoms and distances in Å follow each position.
Space group P4mm (No. 99)
One atom of each set of equivalent atoms:
Ba  0.0000  0.0000  0.0000  4 Hg 3.56, 5 Tl 3.74-3.79
Tl  0.0000  0.0000  0.4849  4 Tl 3.36, 4 Hg 3.39
Tl  0.5000  0.5000  0.7004  4 Tl 3.36, 1 Hg 3.43, 4 Ba 3.74
Hg  0.5000  0.5000  0.2624  5 Tl 3.39-3.43, 4 Ba 3.56

---

(21)
A relaxed CsThAu2Se4 crystal, computed with PBE.

Output
formation energy without anion corrections: -6.2 eV/f.u.

Cell: 6.2018 9.1058 9.7597 Å, 90.00 90.00 90.00°
Closest atoms and distances in Å follow each position.
Space group I222 (No. 23)
One atom of each set of equivalent atoms:
Cs  0.0000  0.0000  0.0000  8 Se 3.73-3.84
Th  0.0000  0.0000  0.5000  4 Se 2.83
Au  0.0000  0.5000  0.1521  2 Se 2.47
Se  0.2216  0.1921  0.3212  1 Au 2.47

---

(22)
A relaxed RbInPb crystal, computed with PBE.

Cell: 8.4945 8.4945 8.4283 Å, 90.00 90.00 90.00°
Closest atoms and distances in Å follow each position.
Space group P4_122 (No. 91)
One atom of each set of equivalent atoms:
Rb  0.0000  0.3508  0.0000  2 Pb 3.58
In  0.3534  0.3534  0.3750  2 In 3.26, 4 Pb 3.32-3.42
Pb  0.3064  0.5000  0.7500  2 Pb 3.14, 4 In 3.32-3.42

---

(23)
A relaxed Nd6Sn2Sb crystal, computed with PBE.

Output
formation energy without anion corrections: -5.9 eV/f.u.

Cell: 8.6383 8.6383 4.4233 Å, 90.00 90.00 120.00°
Closest atoms and distances in Å follow each position.
Space group P-62m (No. 189)
One atom of each set of equivalent atoms:
Nd  0.0000  0.4045  0.0000  4 Sn 3.43, 1 Sb 3.49, 6 Nd 3.60-3.79
Nd  0.0000  0.7329  0.5000  2 Sb 3.20, 2 Sn 3.20
Sn  0.3333  0.6667  0.5000  9 Nd 3.20-3.43
Sb  0.0000  0.0000  0.0000  9 Nd 3.20-3.49

---

(24)
A relaxed LiTl2CuS4 crystal, computed with PBE.

Output
formation energy without anion corrections: -3.4 eV/f.u.

Cell: 8.1928 6.9888 6.6521 Å, 90.00 90.00 90.00°
Closest atoms and distances in Å follow each position.
Space group Pmn2_1 (No. 31)
One atom of each set of equivalent atoms:
Li  0.0000  0.1630  0.0000  4 S 2.46-2.48
Tl  0.2492  0.3308  0.5031  4 S 2.60-2.61
Cu  0.0000  0.8300  0.5001  4 S 2.31
S  0.0000  0.1368  0.3723  1 Cu 2.31, 1 Li 2.48
S  0.0000  0.8418  0.8472  1 Cu 2.31, 1 Li 2.46
S  0.2396  0.6882  0.3945  1 Cu 2.31, 1 Li 2.48

---

(25)
A relaxed TlZnFe2 crystal, computed with PBE.

Output
E above lowest polymorph: 0.1093 eV/atom

Cell: 3.8847 3.8847 4.0628 Å, 90.00 90.00 90.00°
Closest atoms and distances in Å follow each position.
Space group P4/mmm (No. 123)
One atom of each set of equivalent atoms:
Tl  0.0000  0.0000  0.0000  4 Zn 2.75, 8 Fe 2.81
Zn  0.5000  0.5000  0.0000  4 Tl 2.75, 8 Fe 2.81
Fe  0.0000  0.5000  0.5000  4 Fe 2.75, 4 Tl 2.81, 4 Zn 2.81

---

| no. | VASP energy (eV per atom) |
| --- | --- |
| 1 | -2.539 |
| 2 | -3.685 |
| 3 | -7.026 |
| 4 | -6.441 |
| 5 | -4.516 |
| 6 | -3.288 |
| 7 | -1.373 |
| 8 | -6.433 |
| 9 | -4.649 |
| 10 | -7.361 |
| 11 | -5.120 |
| 12 | -4.232 |
| 13 | -9.026 |
| 14 | -5.748 |
| 15 | -10.067 |
| 16 | -5.286 |
| 17 | -3.016 |
| 18 | -3.747 |
| 19 | -3.160 |
| 20 | -2.012 |
| 21 | -4.367 |
| 22 | -2.533 |
| 23 | -5.182 |
| 24 | -3.828 |
| 25 | -4.739 |